No. 1
VASP calculation (PBE-GGA) on crystalline InTeBr2 at its relaxed geometry. Values from VASP.

Calculated values
Energy relative to the elements, uncorrected in meV per atom: 9
Crystal system: cubic
Polymorph energy (0 for the lowest one) in meV/atom: 474

Cell and atoms, written as Quantum ESPRESSO input:
```
&SYSTEM
  ibrav = 0, nat = 4, ntyp = 3
/
ATOMIC_SPECIES
In 114.82 In.upf
Te 127.60 Te.upf
Br 79.90 Br.upf
ATOMIC_POSITIONS crystal
In 0.0000 0.0000 0.0000
Te 0.2500 0.2500 0.2500
Br 0.5000 0.5000 0.5000
Br 0.7500 0.7500 0.7500
CELL_PARAMETERS angstrom
0.0000 3.7921 3.7921
3.7921 0.0000 3.7921
3.7921 3.7921 0.0000
```

---

No. 2
VASP calculation (PBE-GGA) on crystalline InTe2Br at its relaxed geometry. Values from VASP.

Calculated values
Energy relative to the elements, uncorrected in meV per atom: -80
Crystal system: trigonal
Polymorph energy (0 for the lowest one) in meV/atom: 244

Cell and atoms, written as Quantum ESPRESSO input:
```
&SYSTEM
  ibrav = 0, nat = 4, ntyp = 3
/
ATOMIC_SPECIES
In 114.82 In.upf
Te 127.60 Te.upf
Br 79.90 Br.upf
ATOMIC_POSITIONS crystal
In 0.0000 0.0000 0.0000
Te 0.4836 0.4836 0.4836
Te 0.7385 0.7385 0.7385
Br 0.2660 0.2660 0.2660
CELL_PARAMETERS angstrom
2.0146 1.1631 9.1452
-2.0146 1.1631 9.1452
0.0000 -2.3262 9.1452
```

---

No. 3
VASP calculation (PBE-GGA) on crystalline InTeBr2 at its relaxed geometry. Values from VASP.

Calculated values
Energy relative to the elements, uncorrected in meV per atom: -165
Crystal system: orthorhombic
Polymorph energy (0 for the lowest one) in meV/atom: 300

Cell and atoms, written as Quantum ESPRESSO input:
```
&SYSTEM
  ibrav = 0, nat = 4, ntyp = 3
/
ATOMIC_SPECIES
In 114.82 In.upf
Te 127.60 Te.upf
Br 79.90 Br.upf
ATOMIC_POSITIONS crystal
In 0.0000 0.0000 0.0000
Te 0.5000 0.5000 0.0000
Br 0.2537 0.7537 0.5000
Br 0.7463 0.2463 0.5000
CELL_PARAMETERS angstrom
-1.7930 3.4477 4.9523
1.7930 -3.4477 4.9523
1.7930 3.4477 -4.9523
```

---

No. 4
VASP calculation (PBE-GGA) on crystalline In2Te2Br at its relaxed geometry. Values from VASP.

Calculated values
Energy relative to the elements, uncorrected in meV per atom: -208
Crystal system: tetragonal
Polymorph energy (0 for the lowest one) in meV/atom: 127

Cell and atoms, written as Quantum ESPRESSO input:
```
&SYSTEM
  ibrav = 0, nat = 5, ntyp = 3
/
ATOMIC_SPECIES
In 114.82 In.upf
Te 127.60 Te.upf
Br 79.90 Br.upf
ATOMIC_POSITIONS crystal
In 0.1201 0.1201 0.0000
In 0.8799 0.8799 0.0000
Te 0.2500 0.7500 0.5000
Te 0.7500 0.2500 0.5000
Br 0.5000 0.5000 0.0000
CELL_PARAMETERS angstrom
-2.6085 2.6085 5.7963
2.6085 -2.6085 5.7963
2.6085 2.6085 -5.7963
```

---

No. 5
VASP calculation (PBE-GGA) on crystalline InTeBr4 at its relaxed geometry. Values from VASP.

Calculated values
Energy relative to the elements, uncorrected in meV per atom: 412
Crystal system: cubic

Cell and atoms, written as Quantum ESPRESSO input:
```
&SYSTEM
  ibrav = 0, nat = 6, ntyp = 3
/
ATOMIC_SPECIES
In 114.82 In.upf
Te 127.60 Te.upf
Br 79.90 Br.upf
ATOMIC_POSITIONS crystal
In 0.0000 0.0000 0.0000
Te 0.7500 0.7500 0.7500
Br 0.3751 0.3751 0.3751
Br 0.3751 0.3751 0.8746
Br 0.3751 0.8746 0.3751
Br 0.8746 0.3751 0.3751
CELL_PARAMETERS angstrom
0.0000 4.5928 4.5928
4.5928 0.0000 4.5928
4.5928 4.5928 0.0000
```

---

No. 6
VASP calculation (PBE-GGA) on crystalline InTeBr2 at its relaxed geometry. Values from VASP.

Calculated values
Energy relative to the elements, uncorrected in meV per atom: -198
Crystal system: monoclinic
Polymorph energy (0 for the lowest one) in meV/atom: 267

Cell and atoms, written as Quantum ESPRESSO input:
```
&SYSTEM
  ibrav = 0, nat = 4, ntyp = 3
/
ATOMIC_SPECIES
In 114.82 In.upf
Te 127.60 Te.upf
Br 79.90 Br.upf
ATOMIC_POSITIONS crystal
In 0.0000 0.0000 0.0000
Te 0.5000 0.5000 0.0000
Br 0.0000 0.5000 0.5000
Br 0.5000 0.0000 0.5000
CELL_PARAMETERS angstrom
3.5251 -4.1459 0.0000
3.5251 4.1459 0.0000
-3.4906 0.0000 4.4866
```

---

No. 7
VASP calculation (PBE-GGA) on crystalline In4TeBr at its relaxed geometry. Values from VASP.

Calculated values
Energy relative to the elements, uncorrected in meV per atom: -72
Crystal system: cubic

Cell and atoms, written as Quantum ESPRESSO input:
```
&SYSTEM
  ibrav = 0, nat = 6, ntyp = 3
/
ATOMIC_SPECIES
In 114.82 In.upf
Te 127.60 Te.upf
Br 79.90 Br.upf
ATOMIC_POSITIONS crystal
In 0.1243 0.1243 0.1243
In 0.1243 0.1243 0.6271
In 0.1243 0.6271 0.1243
In 0.6271 0.1243 0.1243
Te 0.7500 0.7500 0.7500
Br 0.5000 0.5000 0.5000
CELL_PARAMETERS angstrom
0.0000 4.5020 4.5020
4.5020 0.0000 4.5020
4.5020 4.5020 0.0000
```

---

No. 8
VASP calculation (PBE-GGA) on crystalline In2Te2Br at its relaxed geometry. Values from VASP.

Calculated values
Energy relative to the elements, uncorrected in meV per atom: -146
Crystal system: tetragonal
Polymorph energy (0 for the lowest one) in meV/atom: 189

Cell and atoms, written as Quantum ESPRESSO input:
```
&SYSTEM
  ibrav = 0, nat = 10, ntyp = 3
/
ATOMIC_SPECIES
In 114.82 In.upf
Te 127.60 Te.upf
Br 79.90 Br.upf
ATOMIC_POSITIONS crystal
In 0.1507 0.3493 0.0000
In 0.3493 0.8493 0.0000
In 0.6507 0.1507 0.0000
In 0.8493 0.6507 0.0000
Te 0.1528 0.6528 0.5000
Te 0.3472 0.1528 0.5000
Te 0.6528 0.8472 0.5000
Te 0.8472 0.3472 0.5000
Br 0.0000 0.0000 0.5000
Br 0.5000 0.5000 0.5000
CELL_PARAMETERS angstrom
8.6509 0.0000 0.0000
0.0000 8.6509 0.0000
0.0000 0.0000 3.9876
```

---

No. 9
VASP calculation (PBE-GGA) on crystalline InTeBr2 at its relaxed geometry. Values from VASP.

Calculated values
Energy relative to the elements, uncorrected in meV per atom: -50
Crystal system: tetragonal
Polymorph energy (0 for the lowest one) in meV/atom: 416

Cell and atoms, written as Quantum ESPRESSO input:
```
&SYSTEM
  ibrav = 0, nat = 8, ntyp = 3
/
ATOMIC_SPECIES
In 114.82 In.upf
Te 127.60 Te.upf
Br 79.90 Br.upf
ATOMIC_POSITIONS crystal
In 0.0000 0.0000 0.0000
In 0.7500 0.2500 0.5000
Te 0.2500 0.7500 0.5000
Te 0.5000 0.5000 0.0000
Br 0.1469 0.6250 0.0219
Br 0.3750 0.3969 0.5219
Br 0.6031 0.1250 0.9781
Br 0.8750 0.8531 0.4781
CELL_PARAMETERS angstrom
-4.2781 4.2781 3.6257
4.2781 -4.2781 3.6257
4.2781 4.2781 -3.6257
```

---

No. 10
VASP calculation (PBE-GGA) on crystalline InTeBr2 at its relaxed geometry. Values from VASP.

Calculated values
Energy relative to the elements, uncorrected in meV per atom: -159
Crystal system: orthorhombic
Polymorph energy (0 for the lowest one) in meV/atom: 306

Cell and atoms, written as Quantum ESPRESSO input:
```
&SYSTEM
  ibrav = 0, nat = 4, ntyp = 3
/
ATOMIC_SPECIES
In 114.82 In.upf
Te 127.60 Te.upf
Br 79.90 Br.upf
ATOMIC_POSITIONS crystal
In 0.0000 0.0000 0.0000
Te 0.5000 0.5000 0.2079
Br 0.0000 0.0000 0.4161
Br 0.5000 0.5000 0.7913
CELL_PARAMETERS angstrom
2.1895 -3.8378 0.0000
2.1895 3.8378 0.0000
0.0000 0.0000 9.0250
```

---

No. 11
VASP calculation (PBE-GGA) on crystalline InTeBr2 at its relaxed geometry. Values from VASP.

Calculated values
Energy relative to the elements, uncorrected in meV per atom: -176
Crystal system: orthorhombic
Polymorph energy (0 for the lowest one) in meV/atom: 290

Cell and atoms, written as Quantum ESPRESSO input:
```
&SYSTEM
  ibrav = 0, nat = 4, ntyp = 3
/
ATOMIC_SPECIES
In 114.82 In.upf
Te 127.60 Te.upf
Br 79.90 Br.upf
ATOMIC_POSITIONS crystal
In 0.0000 0.0000 0.0000
Te 0.5000 0.0000 0.5000
Br 0.0000 0.5000 0.5000
Br 0.5000 0.5000 0.0000
CELL_PARAMETERS angstrom
3.7456 0.0000 0.0000
0.0000 4.8040 0.0000
0.0000 0.0000 6.8570
```

---

No. 12
VASP calculation (PBE-GGA) on crystalline InTeBr2 at its relaxed geometry. Values from VASP.

Calculated values
Energy relative to the elements, uncorrected in meV per atom: -261
Crystal system: monoclinic
Polymorph energy (0 for the lowest one) in meV/atom: 204

Cell and atoms, written as Quantum ESPRESSO input:
```
&SYSTEM
  ibrav = 0, nat = 4, ntyp = 3
/
ATOMIC_SPECIES
In 114.82 In.upf
Te 127.60 Te.upf
Br 79.90 Br.upf
ATOMIC_POSITIONS crystal
In 0.0000 0.0000 0.0000
Te 0.5000 0.5000 0.5000
Br 0.3289 0.3289 0.2374
Br 0.6711 0.6711 0.7626
CELL_PARAMETERS angstrom
6.7867 -1.8446 0.0000
6.7867 1.8446 0.0000
-0.1993 0.0000 5.7478
```

---

No. 13
VASP calculation (PBE-GGA) on crystalline InTeBr2 at its relaxed geometry. Values from VASP.

Calculated values
Energy relative to the elements, uncorrected in meV per atom: -168
Crystal system: monoclinic
Polymorph energy (0 for the lowest one) in meV/atom: 297

Cell and atoms, written as Quantum ESPRESSO input:
```
&SYSTEM
  ibrav = 0, nat = 4, ntyp = 3
/
ATOMIC_SPECIES
In 114.82 In.upf
Te 127.60 Te.upf
Br 79.90 Br.upf
ATOMIC_POSITIONS crystal
In 0.0000 0.0000 0.0000
Te 0.5000 0.0000 0.5000
Br 0.2654 0.5000 0.7348
Br 0.7346 0.5000 0.2652
CELL_PARAMETERS angstrom
5.3048 0.0000 0.0000
0.0000 4.7726 0.0000
-0.2007 0.0000 5.3227
```

---

No. 14
VASP calculation (PBE-GGA) on crystalline InTeBr2 at its relaxed geometry. Values from VASP.

Calculated values
Energy relative to the elements, uncorrected in meV per atom: 47
Crystal system: cubic
Polymorph energy (0 for the lowest one) in meV/atom: 513

Cell and atoms, written as Quantum ESPRESSO input:
```
&SYSTEM
  ibrav = 0, nat = 4, ntyp = 3
/
ATOMIC_SPECIES
In 114.82 In.upf
Te 127.60 Te.upf
Br 79.90 Br.upf
ATOMIC_POSITIONS crystal
In 0.0000 0.0000 0.0000
Te 0.5000 0.5000 0.5000
Br 0.2500 0.2500 0.2500
Br 0.7500 0.7500 0.7500
CELL_PARAMETERS angstrom
0.0000 3.9843 3.9843
3.9843 0.0000 3.9843
3.9843 3.9843 0.0000
```

---

no.,DOS at the Fermi energy (states/eV per atom)
1,1.649
2,0.685
3,0.210
4,0.527
5,0.961
6,0.733
7,0.391
8,0.553
9,0.992
10,0.651
11,0.417
12,0.430
13,0.448
14,0.524